Crystalline Tm8Tl2Cu at its relaxed geometry, computed with PBE-GGA.

Unit cell a=18.2333 b=5.0633 c=6.6584 alpha=90.00 beta=101.61 gamma=90.00
Closest atoms and distances in Å follow each position.
Space group C2/m (No. 12)
Asymmetric unit:
Tm1 0.0162 0.0000 0.2712 (multiplicity 4)  2 Cu 3.00, 1 Tl 3.17, 1 Tm 3.22
Tm2 0.0904 0.5000 0.9566 (multiplicity 4)  1 Cu 3.15, 4 Tm 3.36-3.46, 2 Tl 3.48
Tm3 0.1475 0.5000 0.4773 (multiplicity 4)  1 Cu 2.72
Tm4 0.2039 0.0000 0.8044 (multiplicity 4)  3 Tl 3.05-3.27, 2 Tm 3.36
Tl1 0.1886 0.0000 0.2526 (multiplicity 4)  7 Tm 3.05-3.27
Cu1 0.0000 0.5000 0.5000 (multiplicity 2)  6 Tm 2.72-3.00

Calculated values
DFT formation energy in meV/atom: -126